(1)
An optimized crystal structure of Sr2NdTlO5, computed with PBE.

Cell: 3.592 14.625 12.046 Å, 90.00 90.00 90.00°
Space group Cmc2_1 (No. 36)
One atom of each set of equivalent atoms:
1 Sr 0.000 0.128 0.000 (multiplicity 4)
2 Sr 0.000 0.130 0.486 (multiplicity 4)
3 Nd 0.000 0.239 0.758 (multiplicity 4)
4 Tl 0.000 0.498 0.236 (multiplicity 4)
5 O 0.000 0.075 0.794 (multiplicity 4)
6 O 0.000 0.267 0.125 (multiplicity 4)
7 O 0.000 0.283 0.393 (multiplicity 4)
8 O 0.000 0.382 0.840 (multiplicity 4)
9 O 0.000 0.491 0.557 (multiplicity 4)

## Properties
- Formation energy (no corrections): -2.318 eV per atom

---

(2)
An optimized crystal structure of Tb2Ho3Tm5, computed with PBE.

Cell: 10.525 15.503 9.352 Å, 90.00 124.06 90.00°
Space group C2/c (No. 15)
One atom of each set of equivalent atoms:
1 Tb 0.144 0.125 0.048 (multiplicity 8)
2 Ho 0.000 0.272 0.750 (multiplicity 4)
3 Ho 0.155 0.378 0.549 (multiplicity 8)
4 Tm 0.000 0.023 0.250 (multiplicity 4)
5 Tm 0.000 0.230 0.250 (multiplicity 4)
6 Tm 0.000 0.473 0.750 (multiplicity 4)
7 Tm 0.237 0.381 0.227 (multiplicity 8)

## Properties
- ΔH_f (0 K): 0.203 eV/atom
- Fermi-level density of states: 17.692 states/eV/f.u.

---

(3)
An optimized crystal structure of SbTe2Ru, computed with PBE.

Cell: 5.835 5.835 5.799 Å, 90.00 90.00 90.00°
Space group I4/mmm (No. 139)
One atom of each set of equivalent atoms:
1 Sb 0.000 0.000 0.000 (multiplicity 2)
2 Te 0.000 0.500 0.000 (multiplicity 4)
3 Ru 0.000 0.000 0.500 (multiplicity 2)

## Properties
- Formation energy (no corrections): 0.372 eV per atom
- Fermi-level density of states: 2.321 states/eV/f.u.

---

(4)
An optimized crystal structure of Er2ThCd2In2, computed with PBE.

Cell: 4.9938 4.9938 26.0286 Å, 90.00 90.00 120.00°
Space group R-3m (No. 166, hexagonal axes)
One atom of each set of equivalent atoms:
1 Er 0.0000 0.0000 0.1320 (multiplicity 6)
2 Th 0.0000 0.0000 0.0000 (multiplicity 3)
3 Cd 0.0000 0.0000 0.4220 (multiplicity 6)
4 In 0.0000 0.0000 0.2648 (multiplicity 6)

## Properties
- ΔH_f (0 K): -0.164 eV/atom
- Fermi-level density of states: 6.129 states/eV/f.u.

---

(5)
An optimized crystal structure of Tm3CuAu, computed with PBE.

Cell: 3.826 7.038 9.260 Å, 90.00 90.00 90.00°
Space group Pmmn (No. 59, origin choice 2)
One atom of each set of equivalent atoms:
1 Tm 0.250 0.001 0.179 (multiplicity 4)
2 Tm 0.250 0.250 0.563 (multiplicity 2)
3 Cu 0.250 0.250 0.932 (multiplicity 2)
4 Au 0.250 0.750 0.668 (multiplicity 2)

## Properties
- ΔH_f (0 K): -0.364 eV/atom
- Fermi-level density of states: 4.389 states/eV/f.u.

---

(6)
An optimized crystal structure of CuOsPt3, computed with PBE.

Cell: 4.505 4.505 4.505 Å, 90.00 90.00 90.00°
Space group Pm-3m (No. 221)
One atom of each set of equivalent atoms:
1 Cu 0.000 0.000 0.000 (multiplicity 1)
2 Os 0.500 0.500 0.500 (multiplicity 1)
3 Pt 0.000 0.000 0.500 (multiplicity 3)

## Properties
- ΔH_f (0 K): 1.547 eV/atom
- Fermi-level density of states: 9.198 states/eV/f.u.

---

(7)
An optimized crystal structure of Y2PRh, computed with PBE.

Cell: 7.284 7.284 7.127 Å, 90.00 90.00 90.00°
Space group I-42d (No. 122)
One atom of each set of equivalent atoms:
1 Y 0.249 0.250 0.125 (multiplicity 8)
2 P 0.000 0.000 0.500 (multiplicity 4)
3 Rh 0.000 0.000 0.000 (multiplicity 4)

## Properties
- ΔH_f (0 K): -0.618 eV/atom
- Fermi-level density of states: 2.492 states/eV/f.u.

---

(8)
An optimized crystal structure of Ba2Tl6SnAu, computed with PBE.

Cell: 6.443 10.161 10.791 Å, 90.00 90.00 90.00°
Space group Pmmn (No. 59, origin choice 2)
One atom of each set of equivalent atoms:
1 Ba 0.250 0.012 0.222 (multiplicity 4)
2 Tl 0.001 0.750 0.500 (multiplicity 4)
3 Tl 0.004 0.250 0.976 (multiplicity 4)
4 Tl 0.250 0.001 0.613 (multiplicity 4)
5 Sn 0.250 0.750 0.789 (multiplicity 2)
6 Au 0.250 0.250 0.753 (multiplicity 2)

## Properties
- ΔH_f (0 K): -0.152 eV/atom
- Fermi-level density of states: 5.763 states/eV/f.u.

---

(9)
An optimized crystal structure of Na2U2O7, computed with PBE.

Cell: 13.130 7.867 6.914 Å, 90.00 110.87 90.00°
Space group C2/m (No. 12)
One atom of each set of equivalent atoms:
1 Na 0.000 0.000 0.000 (multiplicity 2)
2 Na 0.000 0.244 0.500 (multiplicity 4)
3 Na 0.000 0.500 0.000 (multiplicity 2)
4 U 0.242 0.500 0.459 (multiplicity 4)
5 U 0.250 0.250 0.000 (multiplicity 4)
6 O 0.089 0.500 0.369 (multiplicity 4)
7 O 0.097 0.216 0.894 (multiplicity 8)
8 O 0.106 0.000 0.447 (multiplicity 4)
9 O 0.218 0.500 0.107 (multiplicity 4)
10 O 0.244 0.297 0.682 (multiplicity 8)

## Properties
- Formation energy (no corrections): -2.832 eV per atom
- Fermi-level density of states: 0.000 states/eV/f.u.

---

(10)
An optimized crystal structure of LaYMo2, computed with PBE.

Cell: 3.547 4.726 5.144 Å, 90.00 90.00 90.00°
Space group Pmmm (No. 47)
One atom of each set of equivalent atoms:
1 La 0.000 0.000 0.000 (multiplicity 1)
2 Y 0.500 0.000 0.500 (multiplicity 1)
3 Mo 0.000 0.500 0.500 (multiplicity 1)
4 Mo 0.500 0.500 0.000 (multiplicity 1)

## Properties
- ΔH_f (0 K): 0.699 eV/atom
- Fermi-level density of states: 6.052 states/eV/f.u.

---

(11)
An optimized crystal structure of Rb3TlAu2, computed with PBE.

Cell: 9.785 11.009 11.565 Å, 90.00 119.40 90.00°
Space group P2_1/c (No. 14)
One atom of each set of equivalent atoms:
1 Rb 0.215 0.215 0.331 (multiplicity 4)
2 Rb 0.249 0.536 0.144 (multiplicity 4)
3 Rb 0.249 0.576 0.534 (multiplicity 4)
4 Tl 0.388 0.613 0.901 (multiplicity 4)
5 Au 0.053 0.563 0.782 (multiplicity 4)
6 Au 0.435 0.228 0.170 (multiplicity 4)

## Properties
- ΔH_f (0 K): -0.178 eV/atom
- Fermi-level density of states: 2.729 states/eV/f.u.

---

(12)
An optimized crystal structure of CdCoSe4, computed with PBE.

Cell: 8.085 8.085 8.085 Å, 90.00 90.00 90.00°
Space group F-43m (No. 216)
One atom of each set of equivalent atoms:
1 Cd 0.000 0.000 0.000 (multiplicity 4)
2 Co 0.250 0.250 0.750 (multiplicity 4)
3 Se 0.124 0.124 0.376 (multiplicity 16)

## Properties
- Formation energy (no corrections): 0.780 eV per atom
- Fermi-level density of states: 2.902 states/eV/f.u.